[1]
ScRePb: single point on PBEsol structure, SCAN.

Cell lengths 3.215, 3.215, 6.732 Å; angles 90.00, 90.00, 120.00 degrees
Element x y z (fractional)
Sc1 0.000 0.000 0.000
Re1 0.667 0.333 0.290
Pb1 0.333 0.667 0.614

Output
E_form in eV/atom: 0.37


[2]
Li3HgRu: single point on PBEsol structure, SCAN.

Cell lengths 4.610, 4.610, 4.610 Å; angles 90.00, 90.00, 90.00 degrees
Element x y z (fractional)
Li1 0.000 0.000 0.500
Li2 0.000 0.500 0.000
Li3 0.500 0.000 0.000
Hg1 0.000 0.000 0.000
Ru1 0.500 0.500 0.500

Output
E_form in eV/atom: 0.73


[3]
MgCCl2: single point on PBEsol structure, SCAN.

Cell lengths 8.221, 8.221, 8.221 Å; angles 23.09, 23.09, 23.09 degrees
Element x y z (fractional)
Mg1 0.000 0.000 0.000
C1 0.500 0.500 0.500
Cl1 0.111 0.111 0.111
Cl2 0.889 0.889 0.889

Output
Uncorrected formation energy in kJ/mol of formula units: 421


[4]
HfN: single point on PBEsol structure, SCAN.

Cell lengths 2.782, 2.782, 2.782 Å; angles 90.00, 90.00, 90.00 degrees
Element x y z (fractional)
Hf1 0.000 0.000 0.000
N1 0.500 0.500 0.500

Output
Uncorrected formation energy in kJ/mol of formula units: -184


[5]
NdB12: single point on PBEsol structure, SCAN.

Cell lengths 5.330, 5.330, 5.330 Å; angles 60.00, 60.00, 60.00 degrees
Element x y z (fractional)
Nd1 0.000 0.000 0.000
B1 0.163 0.500 0.500
B2 0.163 0.500 0.837
B3 0.163 0.837 0.500
B4 0.500 0.163 0.500
B5 0.500 0.163 0.837
B6 0.500 0.500 0.163
B7 0.500 0.500 0.837
B8 0.500 0.837 0.163
B9 0.500 0.837 0.500
B10 0.837 0.163 0.500
B11 0.837 0.500 0.163
B12 0.837 0.500 0.500

Output
E_form in eV/atom: -0.25


[6]
Pa3Si: single point on PBEsol structure, SCAN.

Cell lengths 4.390, 4.390, 4.390 Å; angles 90.00, 90.00, 90.00 degrees
Element x y z (fractional)
Pa1 0.000 0.000 0.500
Pa2 0.000 0.500 0.000
Pa3 0.500 0.000 0.000
Si1 0.500 0.500 0.500

Output
Uncorrected formation energy in kJ/mol of formula units: -95


[7]
TeAs2Pt: single point on PBEsol structure, SCAN.

Cell lengths 4.843, 3.701, 4.943 Å; angles 90.00, 113.58, 90.00 degrees
Element x y z (fractional)
Te1 0.000 0.000 0.000
As1 0.272 0.500 0.696
As2 0.728 0.500 0.304
Pt1 0.500 0.000 0.500

Output
Uncorrected formation energy in kJ/mol of formula units: -94


[8]
Y2InSe: single point on PBEsol structure, SCAN.

Cell lengths 5.277, 5.277, 5.277 Å; angles 124.31, 124.31, 82.68 degrees
Element x y z (fractional)
Y1 0.250 0.750 0.500
Y2 0.750 0.250 0.500
In1 0.000 0.000 0.000
Se1 0.500 0.500 0.000

Output
Uncorrected formation energy in kJ/mol of formula units: -327


[9]
NiP2Se: single point on PBEsol structure, SCAN.

Cell lengths 4.296, 4.296, 4.296 Å; angles 60.00, 60.00, 60.00 degrees
Element x y z (fractional)
Ni1 0.000 0.000 0.000
P1 0.250 0.250 0.250
P2 0.500 0.500 0.500
Se1 0.750 0.750 0.750

Output
Uncorrected formation energy in kJ/mol of formula units: 274


[10]
ZrSiAs2: single point on PBEsol structure, SCAN.

Cell lengths 5.204, 5.204, 5.204 Å; angles 141.45, 127.74, 66.78 degrees
Element x y z (fractional)
Zr1 0.000 0.000 0.000
Si1 0.740 0.240 0.500
As1 0.277 0.777 0.500
As2 0.529 0.529 0.000

Output
Uncorrected formation energy in kJ/mol of formula units: -120


[11]
ZnAsAu2: single point on PBEsol structure, SCAN.

Cell lengths 4.565, 4.565, 4.565 Å; angles 60.00, 60.00, 60.00 degrees
Element x y z (fractional)
Zn1 0.000 0.000 0.000
As1 0.500 0.500 0.500
Au1 0.250 0.250 0.250
Au2 0.750 0.750 0.750

Output
E_form in eV/atom: 0.15


[12]
Ti3ZnN: single point on PBEsol structure, SCAN.

Cell lengths 5.498, 5.498, 8.248 Å; angles 90.00, 90.00, 147.87 degrees
Element x y z (fractional)
Ti1 0.038 0.962 0.750
Ti2 0.375 0.625 0.542
Ti3 0.375 0.625 0.958
Ti4 0.625 0.375 0.042
Ti5 0.625 0.375 0.458
Ti6 0.962 0.038 0.250
Zn1 0.255 0.745 0.250
Zn2 0.745 0.255 0.750
N1 0.000 0.000 0.000
N2 0.000 0.000 0.500

Output
Uncorrected formation energy in kJ/mol of formula units: -504